# 1
First-principles (PBE-GGA) data for CrSi2Ag after structural relaxation, as listed in the Alexandria database.

Calculated values
**Energy above the lowest structure with this stoichiometry**: 274 meV/atom
**DFT total energy**: -5.41 eV per atom
**Formation energy (no corrections)**: 1.688 eV per formula unit
**Total magnetization**: 3.1 μB per formula unit

Cell: 4.4144 4.4144 4.4144 Å, 60.00 60.00 60.00°
Last column: nearest neighbours and their distance in Å.
Positions (direct):
Si (0.2500, 0.2500, 0.2500)  4 Cr 2.70, 4 Ag 2.70
Si (0.7500, 0.7500, 0.7500)  4 Cr 2.70, 4 Ag 2.70
Ag (0.5000, 0.5000, 0.5000)  8 Si 2.70
Cr (0.0000, 0.0000, 0.0000)  8 Si 2.70

# 2
First-principles (PBE-GGA) data for MgNi2Cl after structural relaxation, as listed in the Alexandria database.

Calculated values
**Energy above the lowest structure with this stoichiometry**: 9 meV/atom
**DFT total energy**: -3.91 eV per atom
**Formation energy (no corrections)**: -0.644 eV per formula unit
**Total magnetization**: 0.8 μB per formula unit

Cell: 3.1306 3.1303 7.1357 Å, 90.00 90.00 90.00°
Last column: nearest neighbours and their distance in Å.
Positions (direct):
Ni (0.0000, 0.0000, 0.0209)  4 Ni 2.35
Ni (0.5000, 0.5000, 0.1319)  4 Ni 2.35, 1 Mg 2.56
Cl (0.0000, 0.0000, 0.5747)  4 Mg 2.63
Mg (0.5000, 0.5000, 0.7725)  5 Ni 2.56-2.84, 4 Cl 2.63

# 3
First-principles (PBE-GGA) data for NaPm2PbO6 after structural relaxation, as listed in the Alexandria database.

Calculated values
**DFT total energy**: -6.52 eV per atom
**Formation energy (no corrections)**: -20.900 eV per formula unit
**Total magnetization**: 1.1 μB per formula unit

Cell: 5.9227 5.9225 6.2563 Å, 61.75 61.74 60.00°
Last column: nearest neighbours and their distance in Å.
Positions (direct):
O (0.2164, 0.9412, 0.2428)  1 Pb 2.18, 1 Pm 2.34
O (0.1412, 0.4040, 0.7612)  1 Pb 2.27, 2 Pm 2.31-2.42, 1 Na 2.38
O (0.9412, 0.5996, 0.2427)  1 Pb 2.18, 1 Pm 2.34
O (0.4040, 0.6936, 0.7612)  1 Pb 2.27, 2 Pm 2.31-2.42, 1 Na 2.38
O (0.6936, 0.1412, 0.7612)  1 Pb 2.27, 2 Pm 2.31-2.42, 1 Na 2.38
O (0.5996, 0.2164, 0.2428)  1 Pb 2.18, 1 Pm 2.34
Na (0.8046, 0.8046, 0.5863)  6 O 2.38-2.57
Pb (0.3126, 0.3127, 0.0620)  6 O 2.18-2.27
Pm (0.0216, 0.0216, 0.9351)  6 O 2.31-2.44
Pm (0.5267, 0.5267, 0.4200)  6 O 2.34-2.42

# 4
First-principles (PBE-GGA) data for ZrBF2 after structural relaxation, as listed in the Alexandria database.

Calculated values
**Energy above the lowest structure with this stoichiometry**: 462 meV/atom
**DFT total energy**: -5.63 eV per atom
**Formation energy (no corrections)**: -3.570 eV per formula unit
**Total magnetization**: 0.0 μB per formula unit

Cell: 8.3430 8.3430 8.3430 Å, 20.12 20.12 20.12°
Last column: nearest neighbours and their distance in Å.
Positions (direct):
B (0.0000, 0.0000, 0.0000)  2 F 2.53
F (0.1033, 0.1033, 0.1033)  3 Zr 2.29, 1 B 2.53
F (0.8967, 0.8967, 0.8967)  3 Zr 2.29, 1 B 2.53
Zr (0.5000, 0.5000, 0.5000)  6 F 2.29

# 5
First-principles (PBE-GGA) data for NaIn6Pb after structural relaxation, as listed in the Alexandria database.

Calculated values
**Energy above the lowest structure with this stoichiometry**: 42 meV/atom
**DFT total energy**: -2.69 eV per atom
**Total magnetization**: 0.0 μB per formula unit

Cell: 5.7075 11.1428 6.5692 Å, 148.01 90.00 90.00°
Last column: nearest neighbours and their distance in Å.
Positions (direct):
In (0.5000, 0.6299, 0.7533)  2 Na 3.27-3.30, 8 In 3.28-3.48
In (0.0000, 0.3813, 0.2377)  8 In 3.21-3.49, 2 Pb 3.27-3.32
In (0.5000, 0.1233, 0.7533)  2 Na 3.27-3.30, 8 In 3.28-3.48
In (0.0000, 0.3585, 0.7170)  6 In 3.21-3.37, 1 Pb 3.23, 2 Na 3.39
In (0.5000, 0.1337, 0.2675)  6 In 3.25-3.29, 2 Pb 3.30, 2 Na 3.40-3.56
In (0.0000, 0.8564, 0.2377)  8 In 3.21-3.49, 2 Pb 3.27-3.32
Na (0.5000, 0.6226, 0.2452)  8 In 3.27-3.56, 2 Pb 3.42
Pb (0.0000, 0.8943, 0.7885)  7 In 3.23-3.32, 2 Na 3.42

# 6
First-principles (PBE-GGA) data for LaDy5Er4 after structural relaxation, as listed in the Alexandria database.

Calculated values
**Energy above the lowest structure with this stoichiometry**: 0 meV/atom
**DFT total energy**: -4.43 eV per atom
**Total magnetization**: 0.0 μB per formula unit

Cell: 3.5381 10.8617 8.7760 Å, 90.15 101.66 90.00°
Last column: nearest neighbours and their distance in Å.
Positions (direct):
Er (0.0262, 0.7466, 0.0516)  4 Dy 3.24-3.34, 2 La 3.30, 4 Er 3.52-3.54
Er (0.6508, 0.2496, 0.3019)  4 Er 3.52-3.54, 7 Dy 3.66-3.79, 1 La 3.75
Er (0.9738, 0.2534, 0.9484)  4 Dy 3.24-3.34, 2 La 3.30, 4 Er 3.52-3.54
Er (0.3492, 0.7504, 0.6981)  4 Er 3.52-3.54, 7 Dy 3.66-3.79, 1 La 3.75
Dy (0.8267, 0.4485, 0.6531)  2 Er 3.31-3.71, 6 Dy 3.36-3.54
Dy (0.5000, 0.5000, 0.0000)  4 Er 3.24, 6 Dy 3.51-3.54
Dy (0.1733, 0.5515, 0.3469)  2 Er 3.31-3.71, 6 Dy 3.36-3.54
Dy (0.1746, 0.9440, 0.3498)  2 Er 3.34-3.66, 4 Dy 3.36-3.54, 2 La 3.54
Dy (0.8254, 0.0560, 0.6502)  2 Er 3.34-3.66, 4 Dy 3.36-3.54, 2 La 3.54
La (0.5000, 0.0000, 0.0000)  4 Er 3.30, 2 La 3.54, 4 Dy 3.54